The following is a DFT calculation (PBE) of a relaxed SmMg2Si2 crystal.

Cell lengths 7.4409, 7.4409, 3.9431 Å; angles 90.00, 90.00, 90.00 degrees
Sites, in units of the cell vectors:
Si  0.3858  0.8858  0.0000
Si  0.6142  0.1142  0.0000
Si  0.1142  0.3858  0.0000
Si  0.8858  0.6142  0.0000
Mg  0.6693  0.8307  0.5000
Mg  0.8307  0.3307  0.5000
Mg  0.3307  0.1693  0.5000
Mg  0.1693  0.6693  0.5000
Sm  0.5000  0.5000  0.0000
Sm  0.0000  0.0000  0.0000

Calculated values
**Symmetry**: P4/mbm
**DFT total energy**: -38.657 eV for the cell shown